The following is a DFT calculation (GGA-PBE) of a relaxed structure of MgZnH12C4O12.

Lattice parameters (Å, degrees): 8.7003 7.1619 9.5140 90.00 98.19 90.00
With the nearest neighbours (Å) after each atom.
Atoms (fractional coordinates):
Mg 0.0000 0.0000 0.0000  6 O 2.10-2.14
Mg 0.0000 0.5000 0.5000  6 O 2.10-2.14
Zn 0.5000 0.0000 0.5000  6 O 2.09-2.24
Zn 0.5000 0.5000 0.0000  6 O 2.09-2.24
H 0.0721 0.2069 0.2773  1 C 1.10
H 0.0721 0.2931 0.7773  1 C 1.10
H 0.2079 0.6033 0.0048  1 O 1.00
H 0.2079 0.8967 0.5048  1 O 1.00
H 0.2351 0.1150 0.5400  1 O 1.00
H 0.2351 0.3850 0.0400  1 O 1.00
H 0.3021 0.6035 0.7675  1 O 0.99
H 0.3021 0.8965 0.2675  1 O 0.99
H 0.3273 0.5332 0.3797  1 C 1.11
H 0.3273 0.9668 0.8797  1 C 1.11
H 0.4704 0.6552 0.7284  1 O 1.00
H 0.4704 0.8448 0.2284  1 O 1.00
H 0.5296 0.1552 0.7716  1 O 1.00
H 0.5296 0.3448 0.2716  1 O 1.00
H 0.6727 0.0332 0.1203  1 C 1.11
H 0.6727 0.4668 0.6203  1 C 1.11
H 0.6979 0.1035 0.7325  1 O 0.99
H 0.6979 0.3965 0.2325  1 O 0.99
H 0.7649 0.6150 0.9600  1 O 1.00
H 0.7649 0.8850 0.4600  1 O 1.00
H 0.7921 0.1033 0.4952  1 O 1.00
H 0.7921 0.3967 0.9952  1 O 1.00
H 0.9279 0.7069 0.2227  1 C 1.10
H 0.9279 0.7931 0.7227  1 C 1.10
C 0.0338 0.7223 0.7740  1 H 1.10
C 0.0338 0.7777 0.2740  1 H 1.10
C 0.3248 0.1082 0.9261  1 H 1.11
C 0.3248 0.3918 0.4261  1 H 1.11
C 0.6752 0.6082 0.5739  1 H 1.11
C 0.6752 0.8918 0.0739  1 H 1.11
C 0.9662 0.2223 0.7260  1 H 1.10
C 0.9662 0.2777 0.2260  1 H 1.10
O 0.0838 0.7342 0.4019  1 C 1.27
O 0.0838 0.7658 0.9019  1 C 1.27
O 0.0976 0.6039 0.7014  1 C 1.27
O 0.0976 0.8961 0.2014  1 C 1.27
O 0.2109 0.1497 0.9916  1 C 1.28
O 0.2109 0.3503 0.4916  1 C 1.28
O 0.2765 0.5131 0.0636  2 H 1.00
O 0.2765 0.9869 0.5636  2 H 1.00
O 0.4112 0.6283 0.8088  2 H 0.99-1.00
O 0.4112 0.8717 0.3088  2 H 0.99-1.00
O 0.4354 0.2176 0.9089  1 C 1.27
O 0.4354 0.2824 0.4089  1 C 1.27
O 0.5646 0.7176 0.5911  1 C 1.27
O 0.5646 0.7824 0.0911  1 C 1.27
O 0.5888 0.1283 0.6912  2 H 0.99-1.00
O 0.5888 0.3717 0.1912  2 H 0.99-1.00
O 0.7235 0.0131 0.4364  2 H 1.00
O 0.7235 0.4869 0.9364  2 H 1.00
O 0.7891 0.6497 0.5084  1 C 1.28
O 0.7891 0.8503 0.0084  1 C 1.28
O 0.9024 0.1039 0.7986  1 C 1.27
O 0.9024 0.3961 0.2986  1 C 1.27
O 0.9162 0.2342 0.0981  1 C 1.27
O 0.9162 0.2658 0.5981  1 C 1.27

Results
The total energy is -5.789 eV/atom. The total magnetic moment is 0.00 μB per formula unit. The density of states at the Fermi level is 0.00 states/eV/f.u. Its space group is P2_1/c, No. 14.

The following is a DFT calculation (GGA-PBE) of a relaxed structure of MgZn5Ag8.

Lattice parameters (Å, degrees): 6.8628 6.8628 6.8628 110.09 110.09 108.24
With the nearest neighbours (Å) after each atom.
Atoms (fractional coordinates):
Mg 0.0000 0.0000 0.0000  8 Ag 2.73-3.05
Zn 0.2120 0.0522 0.5914  8 Ag 2.66-2.85
Zn 0.3794 0.7880 0.8401  8 Ag 2.66-2.85
Zn 0.4607 0.6206 0.4086  8 Ag 2.66-2.85
Zn 0.7500 0.2500 0.5000  8 Ag 2.58-2.75
Zn 0.9478 0.5393 0.1599  8 Ag 2.66-2.85
Ag 0.1064 0.3440 0.4297  5 Zn 2.58-2.77, 1 Mg 2.73
Ag 0.1656 0.4049 0.9017  5 Zn 2.75-2.85, 4 Ag 2.88-3.07, 1 Mg 3.05
Ag 0.3232 0.8936 0.2376  5 Zn 2.58-2.77, 1 Mg 2.73
Ag 0.5031 0.2638 0.0983  5 Zn 2.75-2.85, 4 Ag 2.88-3.07, 1 Mg 3.05
Ag 0.5951 0.4969 0.7607  5 Zn 2.75-2.85, 4 Ag 2.88-3.07, 1 Mg 3.05
Ag 0.6560 0.0857 0.7624  5 Zn 2.58-2.77, 1 Mg 2.73
Ag 0.7362 0.8344 0.2393  5 Zn 2.75-2.85, 4 Ag 2.88-3.07, 1 Mg 3.05
Ag 0.9143 0.6768 0.5703  5 Zn 2.58-2.77, 1 Mg 2.73

Results
The total energy is -2.160 eV/atom. The total magnetic moment is 0.00 μB per formula unit. The density of states at the Fermi level is 3.18 states/eV/f.u. The calculation puts the energy of formation from the pure elements at 0.04 eV/atom. Its space group is I-4, No. 82.

The following is a DFT calculation (GGA-PBE) of a relaxed structure of GaNF.

Lattice parameters (Å, degrees): 3.3630 3.3630 4.0326 90.07 90.07 120.01
With the nearest neighbours (Å) after each atom.
Atoms (fractional coordinates):
Ga 0.0000 0.0000 0.0000  3 N 1.94, 2 F 2.02
N 0.6667 0.3333 0.0000  3 Ga 1.94
F 0.9995 0.0005 0.5000  2 Ga 2.02

Results
The total energy is -5.189 eV/atom. The total magnetic moment is 1.00 μB per formula unit. The density of states at the Fermi level is 0.12 states/eV/f.u. Its energy relative to the lowest polymorph listed for this composition is 24.64 kJ per mole of atoms. Its space group is C2, No. 5.

The following is a DFT calculation (GGA-PBE) of a relaxed structure of Cr2Ir.

Lattice parameters (Å, degrees): 4.3108 4.3108 2.7763 90.00 90.00 90.00
With the nearest neighbours (Å) after each atom.
Atoms (fractional coordinates):
Cr 0.0000 0.5000 0.0000  4 Ir 2.56, 2 Cr 2.78
Cr 0.5000 0.0000 0.0000  4 Ir 2.56, 2 Cr 2.78
Ir 0.0000 0.0000 0.5000  8 Cr 2.56, 2 Ir 2.78

Results
The total energy is -8.716 eV/atom. The total magnetic moment is 5.42 μB per formula unit. The density of states at the Fermi level is 3.96 states/eV/f.u. The calculation puts the energy of formation from the pure elements at 0.65 eV/atom. Its space group is P4/mmm, No. 123.

The following is a DFT calculation (GGA-PBE) of a relaxed structure of La5Sm3Ho2.

Lattice parameters (Å, degrees): 9.2742 9.2742 10.2286 108.47 108.47 107.47
With the nearest neighbours (Å) after each atom.
Atoms (fractional coordinates):
La 0.0234 0.9766 0.7500  1 La 3.11, 2 Sm 3.46
La 0.1342 0.3778 0.7590  2 Sm 3.44-3.79, 3 La 3.50-3.60, 1 Ho 3.78
La 0.2317 0.7683 0.7500  1 La 3.11, 2 Ho 3.46
La 0.2765 0.7235 0.2500  1 Sm 3.07
La 0.3778 0.1342 0.2590  2 Sm 3.44-3.79, 3 La 3.50-3.60, 1 Ho 3.78
La 0.6222 0.8658 0.7410  2 Sm 3.44-3.79, 3 La 3.50-3.60, 1 Ho 3.78
La 0.7235 0.2765 0.7500  1 Sm 3.07
La 0.7683 0.2317 0.2500  1 La 3.11, 2 Ho 3.46
La 0.8658 0.6222 0.2410  2 Sm 3.44-3.79, 3 La 3.50-3.60, 1 Ho 3.78
La 0.9766 0.0234 0.2500  1 La 3.11, 2 Sm 3.46
Sm 0.0276 0.2773 0.0580  1 Ho 3.29, 5 La 3.46-3.57, 1 Sm 3.59
Sm 0.2773 0.0276 0.5580  1 Ho 3.29, 5 La 3.46-3.57, 1 Sm 3.59
Sm 0.4816 0.5184 0.2500  1 La 3.07, 2 Ho 3.41
Sm 0.5184 0.4816 0.7500  1 La 3.07, 2 Ho 3.41
Sm 0.7227 0.9724 0.4420  1 Ho 3.29, 5 La 3.46-3.57, 1 Sm 3.59
Sm 0.9724 0.7227 0.9420  1 Ho 3.29, 5 La 3.46-3.57, 1 Sm 3.59
Ho 0.2218 0.4659 0.4393  3 Sm 3.29-3.56, 4 La 3.46-3.58
Ho 0.4659 0.2218 0.9393  3 Sm 3.29-3.56, 4 La 3.46-3.58
Ho 0.5341 0.7782 0.0607  3 Sm 3.29-3.56, 4 La 3.46-3.58
Ho 0.7782 0.5341 0.5607  3 Sm 3.29-3.56, 4 La 3.46-3.58

Results
The total energy is -4.643 eV/atom. The total magnetic moment is 0.00 μB per formula unit. The density of states at the Fermi level is 16.97 states/eV/f.u. The calculation puts the energy of formation from the pure elements at 0.15 eV/atom. Its space group is C2/c, No. 15.

The following is a DFT calculation (GGA-PBE) of a relaxed structure of LaIn3Ag.

Lattice parameters (Å, degrees): 5.2843 5.2843 5.2843 90.00 90.00 90.00
With the nearest neighbours (Å) after each atom.
Atoms (fractional coordinates):
La 0.0000 0.0000 0.0000  12 In 3.74
In 0.0000 0.5000 0.5000  2 Ag 2.64
In 0.5000 0.0000 0.5000  2 Ag 2.64
In 0.5000 0.5000 0.0000  2 Ag 2.64
Ag 0.5000 0.5000 0.5000  6 In 2.64

Results
The total energy is -3.199 eV/atom. The total magnetic moment is 0.00 μB per formula unit. The density of states at the Fermi level is 3.29 states/eV/f.u. Its energy relative to the lowest polymorph listed for this composition is 33.63 kJ per mole of atoms. The calculation puts the energy of formation from the pure elements at 0.00 eV/atom. Its space group is Pm-3m, No. 221.

The following is a DFT calculation (GGA-PBE) of a relaxed structure of HfInCo2.

Lattice parameters (Å, degrees): 3.1714 3.1714 6.1720 90.00 90.00 90.00
With the nearest neighbours (Å) after each atom.
Atoms (fractional coordinates):
Hf 0.0000 0.0000 0.0000  8 Co 2.68
In 0.0000 0.0000 0.5000  8 Co 2.77, 2 Hf 3.09
Co 0.5000 0.5000 0.2378  4 Hf 2.68, 4 In 2.77, 1 Co 2.93
Co 0.5000 0.5000 0.7622  4 Hf 2.68, 4 In 2.77, 1 Co 2.93

Results
The total energy is -6.953 eV/atom. The total magnetic moment is 1.06 μB per formula unit. The density of states at the Fermi level is 1.75 states/eV/f.u. The calculation puts the energy of formation from the pure elements at -0.23 eV/atom. Its space group is P4/mmm, No. 123.

The following is a DFT calculation (GGA-PBE) of a relaxed structure of Cd2Si2Ge.

Lattice parameters (Å, degrees): 8.7952 8.7952 8.7952 157.28 157.28 32.34
With the nearest neighbours (Å) after each atom.
Atoms (fractional coordinates):
Cd 0.1029 0.1029 0.0000  4 Ge 3.00, 4 Si 3.03
Cd 0.8971 0.8971 0.0000  4 Ge 3.00, 4 Si 3.03
Si 0.2500 0.7500 0.5000  4 Si 2.45
Si 0.7500 0.2500 0.5000  4 Si 2.45
Ge 0.5000 0.5000 0.0000  8 Cd 3.00

Results
The total energy is -3.146 eV/atom. The total magnetic moment is 0.00 μB per formula unit. The density of states at the Fermi level is 1.98 states/eV/f.u. Its energy relative to the lowest polymorph listed for this composition is 0.00 kJ per mole of atoms. Its space group is I4/mmm, No. 139.